[1]
## Cs2LiBr2O6 (GGA-PBE)

Data for a relaxed Cs2LiBr2O6 crystal.

Values from the calculation:
Volume: 701.06 Å³/cell
Final energy: -3.8834 eV per atom
Spin magnetization: 0.626 μB/f.u.
Crystal system: trigonal

Geometry as CIF:
```
data_Cs2LiBr2O6
_space_group_name_H-M_alt 'R -3 m'
_space_group_IT_number 166
_space_group_name_Hall '-R 3 2"'
_cell_length_a 6.2698
_cell_length_b 6.2698
_cell_length_c 20.5929
_cell_angle_alpha 90.00
_cell_angle_beta 90.00
_cell_angle_gamma 120.00
loop_
_atom_site_label
_atom_site_type_symbol
_atom_site_fract_x
_atom_site_fract_y
_atom_site_fract_z
Cs1 Cs 0.0000 0.0000 0.2353
Li1 Li 0.0000 0.0000 0.0000
Br1 Br 0.0000 0.0000 0.4191
O1 O 0.0136 0.5068 0.2671
```

---

[2]
## CaRuW2 (GGA-PBE)

Data for a relaxed CaRuW2 crystal.

Values from the calculation:
Volume: 68.69 Å³/cell
Final energy: -8.6554 eV per atom
Energy above the lowest structure with this stoichiometry: 188 meV/atom
Spin magnetization: 0.000 μB/f.u.
Calculated formation energy: 0.641 eV per atom
Crystal system: monoclinic

Geometry as CIF:
```
data_CaRuW2
_space_group_name_H-M_alt 'P 1 2/m 1'
_space_group_IT_number 10
_space_group_name_Hall '-P 2y'
_cell_length_a 2.803
_cell_length_b 4.715
_cell_length_c 5.303
_cell_angle_alpha 90.00
_cell_angle_beta 101.45
_cell_angle_gamma 90.00
loop_
_atom_site_label
_atom_site_type_symbol
_atom_site_fract_x
_atom_site_fract_y
_atom_site_fract_z
Ca1 Ca 0.000 0.000 0.000
Ru1 Ru 0.500 0.000 0.500
W1 W 0.266 0.500 0.742
```

---

[3]
## MgHgPb (GGA-PBE)

Data for a relaxed MgHgPb crystal.

Values from the calculation:
Volume: 310.75 Å³/cell
Final energy: -1.8916 eV per atom
Spin magnetization: 0.000 μB/f.u.
Calculated formation energy: -0.023 eV per atom
Crystal system: monoclinic

Geometry as CIF:
```
data_MgHgPb
_space_group_name_H-M_alt 'C 1 2/m 1'
_space_group_IT_number 12
_space_group_name_Hall '-C 2y'
_cell_length_a 10.046
_cell_length_b 4.718
_cell_length_c 6.713
_cell_angle_alpha 90.00
_cell_angle_beta 102.40
_cell_angle_gamma 90.00
loop_
_atom_site_label
_atom_site_type_symbol
_atom_site_fract_x
_atom_site_fract_y
_atom_site_fract_z
Mg1 Mg 0.168 0.000 0.312
Hg1 Hg 0.171 0.000 0.798
Pb1 Pb 0.000 0.500 0.000
Pb2 Pb 0.000 0.500 0.500
```

---

[4]
## PbAuCl3 (GGA-PBE)

Data for a relaxed PbAuCl3 crystal.

Values from the calculation:
Volume: 678.34 Å³/cell
Final energy: -3.2562 eV per atom
Energy above the lowest structure with this stoichiometry: 0 meV/atom
Spin magnetization: 0.000 μB/f.u.
Crystal system: monoclinic

Geometry as CIF:
```
data_PbAuCl3
_space_group_name_H-M_alt 'P 1 21/c 1'
_space_group_IT_number 14
_space_group_name_Hall '-P 2ybc'
_cell_length_a 8.086
_cell_length_b 7.135
_cell_length_c 14.136
_cell_angle_alpha 90.00
_cell_angle_beta 123.72
_cell_angle_gamma 90.00
loop_
_atom_site_label
_atom_site_type_symbol
_atom_site_fract_x
_atom_site_fract_y
_atom_site_fract_z
Pb1 Pb 0.163 0.047 0.172
Au1 Au 0.337 0.567 0.343
Cl1 Cl 0.102 0.214 0.980
Cl2 Cl 0.157 0.701 0.859
Cl3 Cl 0.490 0.665 0.681
```

---

[5]
## ThZrTlIn (GGA-PBE)

Data for a relaxed ThZrTlIn crystal.

Values from the calculation:
Volume: 102.20 Å³/cell
Final energy: -5.4387 eV per atom
Energy above the lowest structure with this stoichiometry: 0 meV/atom
Spin magnetization: 0.000 μB/f.u.
Calculated formation energy: -0.171 eV per atom
Crystal system: tetragonal

Geometry as CIF:
```
data_ThZrTlIn
_space_group_name_H-M_alt 'P 4 m m'
_space_group_IT_number 99
_space_group_name_Hall 'P 4 -2'
_cell_length_a 3.397
_cell_length_b 3.397
_cell_length_c 8.858
_cell_angle_alpha 90.00
_cell_angle_beta 90.00
_cell_angle_gamma 90.00
loop_
_atom_site_label
_atom_site_type_symbol
_atom_site_fract_x
_atom_site_fract_y
_atom_site_fract_z
Th1 Th 0.000 0.000 0.000
Zr1 Zr 0.000 0.000 0.495
Tl1 Tl 0.500 0.500 0.727
In1 In 0.500 0.500 0.268
```

---

[6]
## BP3RhC (GGA-PBE)

Data for a relaxed BP3RhC crystal.

Values from the calculation:
Volume: 74.01 Å³/cell
Final energy: -6.5217 eV per atom
Energy above the lowest structure with this stoichiometry: 40 meV/atom
Spin magnetization: 0.000 μB/f.u.
Calculated formation energy: 0.059 eV per atom
Crystal system: monoclinic

Geometry as CIF:
```
data_BP3RhC
_space_group_name_H-M_alt 'P 1 m 1'
_space_group_IT_number 6
_space_group_name_Hall 'P -2y'
_cell_length_a 4.888
_cell_length_b 3.084
_cell_length_c 5.084
_cell_angle_alpha 90.00
_cell_angle_beta 105.03
_cell_angle_gamma 90.00
loop_
_atom_site_label
_atom_site_type_symbol
_atom_site_fract_x
_atom_site_fract_y
_atom_site_fract_z
B1 B 0.000 0.000 0.000
P1 P 0.173 0.500 0.197
P2 P 0.266 0.500 0.656
P3 P 0.690 0.000 0.444
Rh1 Rh 0.647 0.500 0.092
C1 C 0.040 0.000 0.692
```

---

[7]
## Te2MoCl (GGA-PBE)

Data for a relaxed Te2MoCl crystal.

Values from the calculation:
Volume: 350.48 Å³/cell
Final energy: -4.4059 eV per atom
Energy above the lowest structure with this stoichiometry: 500 meV/atom
Spin magnetization: 2.006 μB/f.u.
Crystal system: cubic

Geometry as CIF:
```
data_Te2MoCl
_space_group_name_H-M_alt 'F m -3 m'
_space_group_IT_number 225
_space_group_name_Hall '-F 4 2 3'
_cell_length_a 7.051
_cell_length_b 7.051
_cell_length_c 7.051
_cell_angle_alpha 90.00
_cell_angle_beta 90.00
_cell_angle_gamma 90.00
loop_
_atom_site_label
_atom_site_type_symbol
_atom_site_fract_x
_atom_site_fract_y
_atom_site_fract_z
Te1 Te 0.250 0.250 0.250
Mo1 Mo 0.000 0.000 0.000
Cl1 Cl 0.000 0.000 0.500
```

---

[8]
## PuCdSnHg (GGA-PBE)

Data for a relaxed PuCdSnHg crystal.

Values from the calculation:
Volume: 100.68 Å³/cell
Final energy: -5.0725 eV per atom
Energy above the lowest structure with this stoichiometry: 0 meV/atom
Spin magnetization: 5.709 μB/f.u.
Calculated formation energy: -0.185 eV per atom
Crystal system: orthorhombic

Geometry as CIF:
```
data_PuCdSnHg
_space_group_name_H-M_alt 'P m m m'
_space_group_IT_number 47
_space_group_name_Hall '-P 2 2'
_cell_length_a 4.414
_cell_length_b 4.625
_cell_length_c 4.933
_cell_angle_alpha 90.00
_cell_angle_beta 90.00
_cell_angle_gamma 90.00
loop_
_atom_site_label
_atom_site_type_symbol
_atom_site_fract_x
_atom_site_fract_y
_atom_site_fract_z
Pu1 Pu 0.000 0.000 0.000
Cd1 Cd 0.000 0.500 0.500
Sn1 Sn 0.500 0.500 0.000
Hg1 Hg 0.500 0.000 0.500
```

---

[9]
## PrHoEr5Sc2 (GGA-PBE)

Data for a relaxed PrHoEr5Sc2 crystal.

Values from the calculation:
Volume: 1106.56 Å³/cell
Final energy: -4.8091 eV per atom
Spin magnetization: 0.000 μB/f.u.
Calculated formation energy: 0.173 eV per atom
Crystal system: orthorhombic

Geometry as CIF:
```
data_PrHoEr5Sc2
_space_group_name_H-M_alt 'C m c 21'
_space_group_IT_number 36
_space_group_name_Hall 'C 2c -2'
_cell_length_a 5.569
_cell_length_b 21.445
_cell_length_c 9.265
_cell_angle_alpha 90.00
_cell_angle_beta 90.00
_cell_angle_gamma 90.00
loop_
_atom_site_label
_atom_site_type_symbol
_atom_site_fract_x
_atom_site_fract_y
_atom_site_fract_z
Pr1 Pr 0.000 0.185 0.000
Ho1 Ho 0.000 0.404 0.599
Er1 Er 0.000 0.008 0.999
Er2 Er 0.000 0.265 0.683
Er3 Er 0.000 0.309 0.297
Er4 Er 0.000 0.393 0.971
Er5 Er 0.000 0.468 0.269
Sc1 Sc 0.000 0.113 0.693
Sc2 Sc 0.000 0.140 0.322
```

---

[10]
## Nd2Ag2Pd15 (GGA-PBE)

Data for a relaxed Nd2Ag2Pd15 crystal.

Values from the calculation:
Volume: 1007.69 Å³/cell
Final energy: -5.2242 eV per atom
Spin magnetization: 0.000 μB/f.u.
Calculated formation energy: -0.323 eV per atom
Crystal system: trigonal

Geometry as CIF:
```
data_Nd2Ag2Pd15
_space_group_name_H-M_alt 'R -3 m'
_space_group_IT_number 166
_space_group_name_Hall '-R 3 2"'
_cell_length_a 9.2100
_cell_length_b 9.2100
_cell_length_c 13.7178
_cell_angle_alpha 90.00
_cell_angle_beta 90.00
_cell_angle_gamma 120.00
loop_
_atom_site_label
_atom_site_type_symbol
_atom_site_fract_x
_atom_site_fract_y
_atom_site_fract_z
Nd1 Nd 0.0000 0.0000 0.1583
Ag1 Ag 0.0000 0.0000 0.4013
Pd1 Pd 0.0000 0.3101 0.5000
Pd2 Pd 0.0000 0.5000 0.0000
Pd3 Pd 0.0049 0.5025 0.6563
```

---

[11]
## PmErAlAu (GGA-PBE)

Data for a relaxed PmErAlAu crystal.

Values from the calculation:
Volume: 393.24 Å³/cell
Final energy: -4.6165 eV per atom
Energy above the lowest structure with this stoichiometry: 50 meV/atom
Spin magnetization: 0.004 μB/f.u.
Calculated formation energy: -0.533 eV per atom
Crystal system: cubic

Geometry as CIF:
```
data_PmErAlAu
_space_group_name_H-M_alt 'F -4 3 m'
_space_group_IT_number 216
_space_group_name_Hall 'F -4 2 3'
_cell_length_a 7.326
_cell_length_b 7.326
_cell_length_c 7.326
_cell_angle_alpha 90.00
_cell_angle_beta 90.00
_cell_angle_gamma 90.00
loop_
_atom_site_label
_atom_site_type_symbol
_atom_site_fract_x
_atom_site_fract_y
_atom_site_fract_z
Pm1 Pm 0.000 0.000 0.000
Er1 Er 0.000 0.000 0.500
Al1 Al 0.250 0.250 0.750
Au1 Au 0.250 0.250 0.250
```

---

[12]
## ScTl2Cu (GGA-PBE)

Data for a relaxed ScTl2Cu crystal.

Values from the calculation:
Volume: 85.57 Å³/cell
Final energy: -3.8114 eV per atom
Energy above the lowest structure with this stoichiometry: 0 meV/atom
Spin magnetization: 0.000 μB/f.u.
Calculated formation energy: -0.021 eV per atom
Crystal system: tetragonal

Geometry as CIF:
```
data_ScTl2Cu
_space_group_name_H-M_alt 'P 4/m m m'
_space_group_IT_number 123
_space_group_name_Hall '-P 4 2'
_cell_length_a 4.602
_cell_length_b 4.602
_cell_length_c 4.040
_cell_angle_alpha 90.00
_cell_angle_beta 90.00
_cell_angle_gamma 90.00
loop_
_atom_site_label
_atom_site_type_symbol
_atom_site_fract_x
_atom_site_fract_y
_atom_site_fract_z
Sc1 Sc 0.000 0.000 0.000
Tl1 Tl 0.000 0.500 0.500
Cu1 Cu 0.500 0.500 0.000
```

---

[13]
## ZnHg3S (GGA-PBE)

Data for a relaxed ZnHg3S crystal.

Values from the calculation:
Volume: 138.36 Å³/cell
Final energy: -0.8761 eV per atom
Energy above the lowest structure with this stoichiometry: 10 meV/atom
Spin magnetization: 0.000 μB/f.u.
Crystal system: cubic

Geometry as CIF:
```
data_ZnHg3S
_space_group_name_H-M_alt 'P m -3 m'
_space_group_IT_number 221
_space_group_name_Hall '-P 4 2 3'
_cell_length_a 5.172
_cell_length_b 5.172
_cell_length_c 5.172
_cell_angle_alpha 90.00
_cell_angle_beta 90.00
_cell_angle_gamma 90.00
loop_
_atom_site_label
_atom_site_type_symbol
_atom_site_fract_x
_atom_site_fract_y
_atom_site_fract_z
Zn1 Zn 0.000 0.000 0.000
Hg1 Hg 0.000 0.000 0.500
S1 S 0.500 0.500 0.500
```